# 1
The following is a DFT calculation (PBE) of BaCe4Se8 after structural relaxation.

Summary:
The calculation puts the spin magnetization at 2.06 μB/f.u. Its formation energy (no corrections) is -1760 meV/atom. The energy is -76.42 eV/f.u.

Cell: 8.5891 8.5891 10.5989 Å, 126.28 126.28 60.18°
Last column: nearest neighbours and their distance in Å.
Positions (direct):
Ba 0.0000 0.0000 0.0000  6 Se 3.33-3.35
Ce 0.2544 0.7456 0.5000  6 Se 2.89-2.94
Ce 0.2722 0.2722 0.5417  6 Se 2.86-2.96
Ce 0.7278 0.7278 0.4583  6 Se 2.86-2.96
Ce 0.7456 0.2544 0.5000  6 Se 2.89-2.94
Se 0.0025 0.0025 0.3180  3 Ce 2.94-2.95
Se 0.0047 0.4652 0.3015  3 Ce 2.90-2.96
Se 0.4652 0.0047 0.3015  3 Ce 2.90-2.96
Se 0.4749 0.4749 0.2916  3 Ce 2.86-2.89
Se 0.5251 0.5251 0.7084  3 Ce 2.86-2.89
Se 0.5348 0.9953 0.6985  3 Ce 2.90-2.96
Se 0.9953 0.5348 0.6985  3 Ce 2.90-2.96
Se 0.9975 0.9975 0.6820  3 Ce 2.94-2.95

***

# 2
The following is a DFT calculation (PBE) of Ba3CeSe4 after structural relaxation.

Summary:
The calculation puts the spin magnetization at 1.36 μB/f.u. Its formation energy (no corrections) is -1926 meV/atom. The energy is -41.05 eV/f.u.

Cell: 7.9697 7.9697 4.5695 Å, 90.00 90.00 109.22°
Last column: nearest neighbours and their distance in Å.
Positions (direct):
Ba 0.0000 0.0000 0.0000  6 Se 3.38-3.41
Ba 0.0000 0.5000 0.5000  6 Se 3.25
Ba 0.5000 0.0000 0.5000  6 Se 3.25
Ce 0.5000 0.5000 0.0000  6 Se 3.08-3.12
Se 0.2628 0.7372 0.0000  1 Ce 3.08, 5 Ba 3.25-3.41
Se 0.2705 0.2705 0.5000  2 Ce 3.12, 4 Ba 3.25-3.38
Se 0.7295 0.7295 0.5000  2 Ce 3.12, 4 Ba 3.25-3.38
Se 0.7372 0.2628 0.0000  1 Ce 3.08, 5 Ba 3.25-3.41

***

# 3
The following is a DFT calculation (PBE) of Ba2Ce2Se5 after structural relaxation.

Summary:
The calculation puts the spin magnetization at 2.01 μB/f.u. Its formation energy (no corrections) is -1872 meV/atom. The energy is -49.98 eV/f.u.

Cell: 8.1883 8.1883 8.9672 Å, 122.70 122.70 39.96°
Last column: nearest neighbours and their distance in Å.
Positions (direct):
Ba 0.1214 0.1214 0.2695  7 Se 3.22-3.46
Ba 0.8786 0.8786 0.7305  7 Se 3.22-3.46
Ce 0.3886 0.3886 0.1872  6 Se 2.91-3.04
Ce 0.6114 0.6114 0.8128  6 Se 2.91-3.04
Se 0.1476 0.1476 0.9231  3 Ce 2.91-3.04
Se 0.3770 0.3770 0.5047  2 Ce 2.95-3.03, 1 Ba 3.22
Se 0.5000 0.5000 0.0000  2 Ce 3.01
Se 0.6230 0.6230 0.4953  2 Ce 2.95-3.03, 1 Ba 3.22
Se 0.8524 0.8524 0.0769  3 Ce 2.91-3.04

***

# 4
The following is a DFT calculation (PBE) of Ba2Ce3Se8 after structural relaxation.

Summary:
The calculation puts the spin magnetization at 0.00 μB/f.u. Its formation energy (no corrections) is -1736 meV/atom. The energy is -72.09 eV/f.u.

Cell: 8.8598 8.8598 7.3719 Å, 106.96 106.96 58.98°
Last column: nearest neighbours and their distance in Å.
Positions (direct):
Ba 0.2272 0.2272 0.1613  6 Se 3.25-3.37
Ba 0.7728 0.7728 0.8387  6 Se 3.25-3.37
Ce 0.2427 0.7573 0.5000  6 Se 2.81-2.96
Ce 0.5000 0.5000 0.0000  6 Se 2.84-2.89
Ce 0.7573 0.2427 0.5000  6 Se 2.81-2.96
Se 0.1138 0.1138 0.4664  2 Ce 2.81
Se 0.1676 0.6138 0.1039  2 Ce 2.84-2.86
Se 0.3862 0.8324 0.8961  2 Ce 2.84-2.86
Se 0.3969 0.3969 0.5925  3 Ce 2.89-2.96
Se 0.6031 0.6031 0.4075  3 Ce 2.89-2.96
Se 0.6138 0.1676 0.1039  2 Ce 2.84-2.86
Se 0.8324 0.3862 0.8961  2 Ce 2.84-2.86
Se 0.8862 0.8862 0.5336  2 Ce 2.81